Record 1
SbSCl: relaxed, GGA-PBE.

a b c (Å): 3.921 6.990 7.179
angles (deg): 80.07 74.53 73.77
Space group P-1 (No. 2)
One atom of each set of equivalent atoms:
Sb (0.144, 0.491, 0.234)
S (0.181, 0.715, 0.923)
Cl (0.452, 0.751, 0.348)

Energy relative to the elements, uncorrected: -0.53 eV/atom
M_tot: 0.000 μB/atom
Crystal system: triclinic

Record 2
ZrMn2Cr: relaxed, GGA-PBE.

a b c (Å): 2.774 3.805 5.455
angles (deg): 90.00 103.07 90.00
Space group P2/m (No. 10)
One atom of each set of equivalent atoms:
Zr (0.000, 0.000, 0.000)
Mn (0.276, 0.500, 0.694)
Cr (0.500, 0.000, 0.500)

M_tot: 0.195 μB/atom
Crystal system: monoclinic
Energy relative to the elements: 0.195 eV/atom

Record 3
KThAuO4: relaxed, GGA-PBE.

a b c (Å): 6.324 7.184 11.856
angles (deg): 90.00 90.00 90.00
Space group Imma (No. 74)
One atom of each set of equivalent atoms:
K (0.000, 0.250, 0.166)
Th (0.000, 0.000, 0.500)
Au (0.250, 0.250, 0.750)
O (0.000, 0.072, 0.715)
O (0.211, 0.250, 0.477)

Energy relative to the elements, uncorrected: -1.88 eV/atom
M_tot: 0.000 μB/atom
Crystal system: orthorhombic

Record 4
BaRuCl6: relaxed, GGA-PBE.

a b c (Å): 6.624 6.635 7.194
angles (deg): 90.09 117.32 119.83
Space group P-1 (No. 2)
One atom of each set of equivalent atoms:
Ba (0.000, 0.000, 0.000)
Ru (0.000, 0.500, 0.500)
Cl (0.170, 0.487, 0.280)
Cl (0.207, 0.317, 0.720)
Cl (0.401, 0.888, 0.721)

Energy relative to the elements, uncorrected: -1.20 eV/atom
M_tot: 0.250 μB/atom
Crystal system: triclinic

Record 5
CoSnSCl2: relaxed, GGA-PBE.

a b c (Å): 4.663 4.663 4.698
angles (deg): 90.00 90.00 90.00
Space group P4/mmm (No. 123)
One atom of each set of equivalent atoms:
Co (0.000, 0.000, 0.000)
Sn (0.500, 0.500, 0.500)
S (0.000, 0.000, 0.500)
Cl (0.000, 0.500, 0.000)

Energy relative to the elements, uncorrected: -0.26 eV/atom
M_tot: 0.390 μB/atom
Crystal system: tetragonal

Record 6
LiLaSN2: relaxed, GGA-PBE.

a b c (Å): 4.348 4.348 5.814
angles (deg): 90.00 90.00 90.00
Space group P4/mmm (No. 123)
One atom of each set of equivalent atoms:
Li (0.000, 0.000, 0.000)
La (0.500, 0.500, 0.500)
S (0.500, 0.500, 0.000)
N (0.000, 0.500, 0.500)

Energy relative to the elements, uncorrected: 0.50 eV/atom
M_tot: 0.306 μB/atom
Crystal system: tetragonal

Record 7
MgTiO: relaxed, GGA-PBE.

a b c (Å): 10.034 2.935 5.496
angles (deg): 90.00 98.75 90.00
Space group Cm (No. 8)
One atom of each set of equivalent atoms:
Mg (0.000, 0.000, 0.000)
Mg (0.247, 0.500, 0.221)
Ti (0.227, 0.000, 0.672)
Ti (0.491, 0.000, 0.489)
O (0.122, 0.500, 0.849)
O (0.377, 0.500, 0.666)

Energy relative to the elements, uncorrected: -1.53 eV/atom
M_tot: 0.000 μB/atom
Crystal system: monoclinic

Record 8
SiP: relaxed, GGA-PBE.

a b c (Å): 3.532 3.532 2.478
angles (deg): 90.00 90.00 90.00
Space group P4/mmm (No. 123)
One atom of each set of equivalent atoms:
Si (0.000, 0.000, 0.000)
P (0.500, 0.500, 0.000)

Energy relative to the elements, uncorrected: 0.12 eV/atom
M_tot: 0.000 μB/atom
Crystal system: tetragonal

Question: Look up the M_tot of the third one.
Answer: 0.000 μB/atom

Question: Number 4 is which compound?
Answer: BaRuCl6

Question: Which of these has the highest M_tot?
Answer: CoSnSCl2

Question: M_tot of number 2 (ZrMn2Cr)?
Answer: 0.195 μB/atom